[1]
Here is crystalline Tb3BRh3Au2 at its relaxed geometry from Alexandria via LeMat-Bulk. Energies are from PBE-GGA.

CIF file:
```
data_Tb3BRh3Au2
_chemical_formula_sum 'Tb3 B1 Rh3 Au2'
_symmetry_space_group_name_H-M 'P -6 2 m'
_symmetry_Int_Tables_number 189
_symmetry_space_group_name_Hall 'P -6 -2'
_cell_length_a 7.5142
_cell_length_b 7.5142
_cell_length_c 3.4213
_cell_angle_alpha 90.00
_cell_angle_beta 90.00
_cell_angle_gamma 120.00
loop_
_atom_site_label
_atom_site_type_symbol
_atom_site_fract_x
_atom_site_fract_y
_atom_site_fract_z
Tb1 Tb 0.0000 0.3644 0.0000
B1 B 0.0000 0.0000 0.0000
Rh1 Rh 0.0000 0.7875 0.5000
Au1 Au 0.3333 0.6667 0.5000
```



[2]
Here is crystalline Na2CoC at its relaxed geometry from Alexandria via LeMat-Bulk. Energies are from PBE-GGA.

CIF file:
```
data_Na2CoC
_chemical_formula_sum 'Na8 Co4 C4'
_symmetry_space_group_name_H-M 'F m -3 m'
_symmetry_Int_Tables_number 225
_symmetry_space_group_name_Hall '-F 4 2 3'
_cell_length_a 6.291
_cell_length_b 6.291
_cell_length_c 6.291
_cell_angle_alpha 90.00
_cell_angle_beta 90.00
_cell_angle_gamma 90.00
loop_
_atom_site_label
_atom_site_type_symbol
_atom_site_fract_x
_atom_site_fract_y
_atom_site_fract_z
Na1 Na 0.250 0.250 0.250
Co1 Co 0.000 0.000 0.000
C1 C 0.000 0.000 0.500
```

Calculated values
The excess energy over the best structure of this formula in the dataset is 1163 meV/atom.



[3]
Here is crystalline RbZnCuPd2 at its relaxed geometry from Alexandria via LeMat-Bulk. Energies are from PBE-GGA.

CIF file:
```
data_RbZnCuPd2
_chemical_formula_sum 'Rb1 Zn1 Cu1 Pd2'
_symmetry_space_group_name_H-M 'P 4/m m m'
_symmetry_Int_Tables_number 123
_symmetry_space_group_name_Hall '-P 4 2'
_cell_length_a 5.252
_cell_length_b 5.252
_cell_length_c 5.292
_cell_angle_alpha 90.00
_cell_angle_beta 90.00
_cell_angle_gamma 90.00
loop_
_atom_site_label
_atom_site_type_symbol
_atom_site_fract_x
_atom_site_fract_y
_atom_site_fract_z
Rb1 Rb 0.000 0.000 0.000
Zn1 Zn 0.500 0.500 0.500
Cu1 Cu 0.000 0.000 0.500
Pd1 Pd 0.000 0.500 0.000
```



[4]
Here is crystalline CsCd12In7 at its relaxed geometry from Alexandria via LeMat-Bulk. Energies are from PBE-GGA.

CIF file:
```
data_CsCd12In7
_chemical_formula_sum 'Cs3 Cd36 In21'
_symmetry_space_group_name_H-M 'R -3 m'
_symmetry_Int_Tables_number 166
_symmetry_space_group_name_Hall '-R 3 2"'
_cell_length_a 15.4983
_cell_length_b 15.4983
_cell_length_c 7.8586
_cell_angle_alpha 90.00
_cell_angle_beta 90.00
_cell_angle_gamma 120.00
loop_
_atom_site_label
_atom_site_type_symbol
_atom_site_fract_x
_atom_site_fract_y
_atom_site_fract_z
Cs1 Cs 0.0000 0.0000 0.0000
Cd1 Cd 0.0000 0.2623 0.0000
Cd2 Cd 0.1041 0.5520 0.9473
In1 In 0.0000 0.0000 0.5000
In2 In 0.1036 0.5518 0.3376
```



The records above yield DFT formation energy values of -0.75; 1.71; 1.51; 0.04 eV/atom, respectively.